First-principles (PBE+U) data for a relaxed structure of FeHClO, as listed in the Alexandria database.

```
FeHClO
1.0
2.984 -1.738 0.000
2.984 1.738 0.000
-1.991 0.000 5.386
Fe H Cl O
1 1 1 1
Cartesian
0.000 0.000 0.000
4.057 0.000 1.828
-0.018 0.000 3.804
4.027 0.000 0.850
```

Properties
Density of states at the Fermi level (states/eV/atom): 0.0000
Space group: Cm
Energy (Ry per atom): -0.3770
Spin magnetization (μB per formula unit): 4.01